VASP calculation (PBE+U) on an optimized crystal structure of NaNiOs2O8.

Unit cell a=6.1215 b=6.1215 c=6.1215 alpha=110.15 beta=110.15 gamma=108.13
Closest atoms and distances in Å follow each position.
Positions (direct):
O  0.8047  0.1044  0.7003  1 Os 1.75
O  0.4042  0.1044  0.2997  1 Os 1.75
O  0.3536  0.1472  0.7937  1 Os 1.79
O  0.8956  0.5958  0.7003  1 Os 1.75
O  0.3536  0.5599  0.2063  1 Os 1.79
O  0.8528  0.6464  0.2063  1 Os 1.79
O  0.8956  0.1953  0.2997  1 Os 1.75
O  0.4401  0.6464  0.7937  1 Os 1.79
Os  0.7500  0.2500  0.5000  4 O 1.75
Os  0.5000  0.5000  0.0000  4 O 1.79
Na  0.0000  0.0000  0.0000  4 O 2.23
Ni  0.2500  0.7500  0.5000  4 O 2.19

Calculated values
DOS(E_F) (states/eV per atom): 0.508
Uncorrected energy (eV per formula unit): -76.60
Magnetization (μB per formula unit): 3.066